# 1
Compound: SrNi2RuSe
Source: the Alexandria database
Functional: GGA-PBE
Structure: relaxed

Structure (POSCAR):
```
SrNi2RuSe
1.0
4.738 0.000 0.000
0.000 4.738 0.000
0.000 0.000 5.071
Sr Ni Ru Se
1 2 1 1
direct
0.000 0.000 0.000 Sr
0.000 0.500 0.000 Ni
0.500 0.000 0.000 Ni
0.000 0.000 0.500 Ru
0.500 0.500 0.500 Se
```

* formation energy from raw total energies: 1.977 eV/atom
* D(E_F): 5.90 states/eV/cell
* spin magnetization: 2.27 μB/f.u.
* DFT total energy: -3.2243 eV per atom

=====

# 2
Compound: Rb3Pm2ScTe6
Source: the Alexandria database
Functional: GGA-PBE
Structure: relaxed

Structure (POSCAR):
```
Rb3Pm2ScTe6
1.0
3.926 -6.802 0.000
3.926 6.802 0.000
-2.625 0.000 8.542
Rb Pm Sc Te
3 2 1 6
direct
0.000 0.000 0.000 Rb
0.329 0.671 0.000 Rb
0.671 0.329 0.000 Rb
0.166 0.834 0.500 Pm
0.834 0.166 0.500 Pm
0.500 0.500 0.500 Sc
0.117 0.434 0.302 Te
0.250 0.250 0.700 Te
0.434 0.117 0.302 Te
0.566 0.883 0.698 Te
0.750 0.750 0.300 Te
0.883 0.566 0.698 Te
```

* formation energy from raw total energies: -1.341 eV/atom
* spin magnetization: 0.00 μB/f.u.
* DFT total energy: -4.4734 eV per atom

=====

# 3
Compound: LiMoP
Source: the Alexandria database
Functional: GGA-PBE
Structure: relaxed

Structure (POSCAR):
```
LiMoP
1.0
3.824 0.000 0.000
0.000 3.824 0.000
0.000 0.000 6.573
Li Mo P
2 2 2
direct
0.250 0.250 0.141 Li
0.750 0.750 0.859 Li
0.250 0.750 0.500 Mo
0.750 0.250 0.500 Mo
0.250 0.250 0.750 P
0.750 0.750 0.250 P
```

* ΔE to the lowest computed polymorph: 0 meV/atom
* D(E_F): 3.48 states/eV/cell
* spin magnetization: 0.00 μB/f.u.
* DFT total energy: -6.5574 eV per atom
* formation energy from the elements: -1.52 eV per formula unit

=====

Look up the spin magnetization of the third one.
0.00 μB/f.u.

=====

DFT total energy of number 2 (Rb3Pm2ScTe6)?
-4.4734 eV per atom

=====

Which of these has the highest DFT total energy?
SrNi2RuSe